Material: ZrCd2W
Method: DFT, PBE
State: relaxed

Results
Volume: 79.1 Å³/f.u.
Energy of formation: 0.508 eV/atom
Space-group type: No. 123
VASP energy: -21.30 eV/cell
DOS(E_F): 3.1 states/eV/f.u.
Energy relative to the lowest polymorph listed for this composition: 0.318 eV per atom

```
data_ZrCd2W
_chemical_formula_sum 'Zr1 Cd2 W1'
_cell_length_a 3.7044
_cell_length_b 3.7044
_cell_length_c 5.7674
_cell_angle_alpha 90.00
_cell_angle_beta 90.00
_cell_angle_gamma 90.00
_space_group_name_H-M_alt 'P 1'
_space_group_IT_number 1
_space_group_name_Hall 'P 1'
loop_
_atom_site_label
_atom_site_type_symbol
_atom_site_fract_x
_atom_site_fract_y
_atom_site_fract_z
Cd1 Cd 0.0000 0.0000 0.4893
Zr1 Zr 0.5000 0.5000 0.7500
W1 W 0.5000 0.5000 0.2500
Cd2 Cd 0.0000 0.0000 0.0107
```